Compound: Rb2CaMnMo
Source: Alexandria
Functional: PBE
Structure: optimized geometry

Results
Formation enthalpy at 0 K (eV per atom): 1.998

Unit cell a=6.5098 b=6.5098 c=5.9366 alpha=90.00 beta=90.00 gamma=90.00
Space group P4/mmm (No. 123)
Inequivalent atoms, fractional coordinates:
Rb 0.0000 0.5000 0.0000
Ca 0.0000 0.0000 0.5000
Mn 0.0000 0.0000 0.0000
Mo 0.5000 0.5000 0.5000